HfTcPt2I (SCAN, single point on PBEsol structure); VASP energy = -269.00 eV for the cell shown; magnetic moment = 1.98 μB per cell
1.0
-0.688 -4.327 -2.002
3.521 -1.897 2.891
-3.385 -1.051 3.434
I Hf Tc Pt
1 1 1 2
Cartesian
-0.276 -3.637 2.161 I
0.000 0.000 0.000 Hf
-0.344 -2.163 -1.001 Tc
-1.693 -0.525 1.717 Pt
1.761 -0.949 1.445 Pt